Version A
Computed, not measured: crystalline CeY2Pt at its relaxed geometry at the GGA-PBE level of DFT.

```
CeY2Pt
1.0
3.5254 0.0000 0.0000
0.0000 3.5254 0.0000
0.0000 0.0000 8.6328
Y Ce Pt
2 1 1
Direct
0.0000 0.0000 0.8056 Y
0.0000 0.0000 0.1944 Y
0.5000 0.5000 0.5000 Ce
0.5000 0.5000 0.0000 Pt
```

Computed properties:
- ρ (g/cm³) = 7.94
- total magnetization (μB/cell) = 1.19
- crystal system = tetragonal



Version B
Computed, not measured: crystalline CeY2Pt at its relaxed geometry at the GGA-PBE level of DFT.

```
CeY2Pt
1.0
3.7974 0.0000 0.0000
1.8987 3.2887 0.0000
1.8987 1.0962 9.6024
Y Ce Pt
2 1 1
Direct
0.2717 0.2717 0.1850 Y
0.7283 0.7283 0.8150 Y
0.5000 0.5000 0.5000 Ce
0.0000 0.0000 0.0000 Pt
```

Computed properties:
- ρ (g/cm³) = 7.10
- total magnetization (μB/cell) = 1.72
- crystal system = trigonal



Which structure loses on stability? version B does.



Version A
Computed, not measured: crystalline CeY2Pt at its relaxed geometry at the GGA-PBE level of DFT.

```
CeY2Pt
1.0
6.5709 0.0000 0.0000
0.0000 7.0869 0.0000
0.0000 0.0000 9.7050
Ce Y Pt
4 8 4
Direct
0.6436 0.5288 0.2500 Ce
0.8564 0.0288 0.2500 Ce
0.3564 0.4712 0.7500 Ce
0.1436 0.9712 0.7500 Ce
0.1699 0.6796 0.0617 Y
0.3301 0.1796 0.4383 Y
0.8301 0.3204 0.5617 Y
0.6699 0.8204 0.9383 Y
0.8301 0.3204 0.9383 Y
0.6699 0.8204 0.5617 Y
0.1699 0.6796 0.4383 Y
0.3301 0.1796 0.0617 Y
0.0557 0.3794 0.2500 Pt
0.4443 0.8794 0.2500 Pt
0.9443 0.6206 0.7500 Pt
0.5557 0.1206 0.7500 Pt
```

Computed properties:
- ρ (g/cm³) = 7.54
- total magnetization (μB/cell) = 4.65
- crystal system = orthorhombic



Version B
Computed, not measured: crystalline CeY2Pt at its relaxed geometry at the GGA-PBE level of DFT.

```
CeY2Pt
1.0
3.8765 0.0000 0.0000
1.9382 3.3571 0.0000
1.9382 1.1190 9.3440
Ce Y Pt
1 2 1
Direct
0.5016 0.5016 0.4951 Ce
0.0603 0.0603 0.8192 Y
0.2722 0.2722 0.1835 Y
0.6659 0.6659 0.0023 Pt
```

Computed properties:
- ρ (g/cm³) = 7.01
- total magnetization (μB/cell) = 1.88
- crystal system = trigonal



Which structure loses on stability? version B does.



Version A
Computed, not measured: crystalline Ce2YPt2 at its relaxed geometry at the GGA-PBE level of DFT.

```
Ce2YPt2
1.0
4.0518 0.3068 0.9693
-0.5606 4.0246 0.9692
0.1249 0.1550 7.3515
Ce Y Pt
2 1 2
Direct
0.2410 0.7590 0.5000 Ce
0.7590 0.2410 0.5000 Ce
0.0000 0.0000 0.0000 Y
0.3976 0.3976 0.1894 Pt
0.6024 0.6024 0.8106 Pt
```

Computed properties:
- ρ (g/cm³) = 10.51
- total magnetization (μB/cell) = 0.00
- crystal system = monoclinic



Version B
Computed, not measured: crystalline Ce2YPt2 at its relaxed geometry at the GGA-PBE level of DFT.

```
Ce2YPt2
1.0
3.8881 0.0000 0.0000
0.0000 7.9430 0.0000
0.0000 0.0000 7.9430
Ce Y Pt
4 2 4
Direct
0.0000 0.6655 0.3345 Ce
0.0000 0.8345 0.8345 Ce
0.0000 0.1655 0.1655 Ce
0.0000 0.3345 0.6655 Ce
0.5000 0.5000 0.0000 Y
0.5000 0.0000 0.5000 Y
0.5000 0.3637 0.3637 Pt
0.5000 0.8637 0.1363 Pt
0.5000 0.1363 0.8637 Pt
0.5000 0.6363 0.6363 Pt
```

Computed properties:
- ρ (g/cm³) = 10.28
- total magnetization (μB/cell) = 1.77
- crystal system = tetragonal



Which structure loses on stability? version A does.



Version A
Computed, not measured: crystalline CeYPt at its relaxed geometry at the GGA-PBE level of DFT.

```
CeYPt
1.0
-2.1991 2.4130 -2.3307
-3.7100 -0.6771 2.7995
2.9727 3.5345 0.8545
Y Ce Pt
1 1 1
Direct
0.5993 0.6667 0.3333 Y
0.0473 0.0000 0.0000 Ce
0.3534 0.3333 0.6667 Pt
```

Computed properties:
- ρ (g/cm³) = 9.19
- total magnetization (μB/cell) = 0.73
- crystal system = trigonal



Version B
Computed, not measured: crystalline CeYPt at its relaxed geometry at the GGA-PBE level of DFT.

```
CeYPt
1.0
-3.8929 2.8994 -0.8330
-3.5966 0.3161 3.3496
-0.5869 4.1416 2.5995
Y Ce Pt
1 1 1
Direct
0.0000 0.0000 0.0000 Y
0.5000 0.5000 0.5000 Ce
0.2500 0.2500 0.2500 Pt
```

Computed properties:
- ρ (g/cm³) = 8.34
- total magnetization (μB/cell) = 0.94
- crystal system = cubic



Which structure loses on stability? version A does.